Entry 1:
# TbSiAu3 PBE optimized geometry
data_TbSiAu3
_space_group_name_H-M_alt 'P n m a'
_space_group_IT_number 62
_cell_length_a 9.0704
_cell_length_b 4.7826
_cell_length_c 9.0077
_cell_angle_alpha 90.00
_cell_angle_beta 90.00
_cell_angle_gamma 90.00
loop_
_space_group_symop_operation_xyz
'x,y,z'
'-x,-y,-z'
'-x+1/2,-y,z+1/2'
'x+1/2,y,-z+1/2'
'x+1/2,-y+1/2,-z+1/2'
'-x+1/2,y+1/2,z+1/2'
'-x,y+1/2,-z'
'x,-y+1/2,z'
loop_
_atom_site_label
_atom_site_fract_x
_atom_site_fract_y
_atom_site_fract_z
_atom_site_occupancy
Tb1 0.2294 0.2500 0.0079 1
Si1 0.1250 0.2500 0.6811 1
Au1 0.0730 0.2500 0.4143 1
Au2 0.0984 0.7500 0.1647 1
Au3 0.1116 0.7500 0.8344 1
# Spin magnetization (μB per cell): 0.00
# Uncorrected formation energy (eV/f.u.): -2.674
# DOS at the Fermi energy (states/eV per atom): 0.34

Entry 2:
# Zr2TeAs PBE optimized geometry
data_Zr2TeAs
_space_group_name_H-M_alt 'P 1 2/m 1'
_space_group_IT_number 10
_cell_length_a 4.0261
_cell_length_b 4.0361
_cell_length_c 5.6730
_cell_angle_alpha 90.00
_cell_angle_beta 90.12
_cell_angle_gamma 90.00
loop_
_space_group_symop_operation_xyz
'x,y,z'
'-x,-y,-z'
'-x,y,-z'
'x,-y,z'
loop_
_atom_site_label
_atom_site_fract_x
_atom_site_fract_y
_atom_site_fract_z
_atom_site_occupancy
Zr1 0.0000 0.0000 0.0000 1
Zr2 0.5000 0.5000 0.5000 1
Te1 0.0000 0.0000 0.5000 1
As1 0.5000 0.5000 0.0000 1
# Spin magnetization (μB per cell): 0.00
# Uncorrected formation energy (eV/f.u.): -2.824
# Relative energy among the computed polymorphs (meV/atom): 265.5
# DOS at the Fermi energy (states/eV per atom): 0.66

Entry 3:
# InMo PBE optimized geometry
data_InMo
_space_group_name_H-M_alt 'P m -3 m'
_space_group_IT_number 221
_space_group_name_Hall '-P 4 2 3'
_cell_length_a 3.3112
_cell_length_b 3.3112
_cell_length_c 3.3112
_cell_angle_alpha 90.00
_cell_angle_beta 90.00
_cell_angle_gamma 90.00
loop_
_atom_site_label
_atom_site_fract_x
_atom_site_fract_y
_atom_site_fract_z
_atom_site_occupancy
In1 0.0000 0.0000 0.0000 1
Mo1 0.5000 0.5000 0.5000 1
# ΔE_f (meV/atom): 574
# Spin magnetization (μB per cell): 0.00
# Relative energy among the computed polymorphs (meV/atom): 359.7
# DOS at the Fermi energy (states/eV per atom): 0.95